{"formula": "LiTa3O8", "functional": "PBE", "state": "optimized geometry", "lattice_angstrom": [[-2.799, -6.129, 3.412], [1.600, -2.660, -6.885], [4.677, -1.348, 1.544]], "species": ["O", "O", "O", "O", "O", "O", "O", "O", "O", "O", "O", "O", "O", "O", "O", "O", "Ta", "Ta", "Ta", "Ta", "Ta", "Ta", "Li", "Li"], "frac_coords": [[0.099, 0.196, 0.939], [0.697, 0.568, 0.417], [0.561, 0.208, 0.575], [0.568, 0.697, 0.917], [0.792, 0.439, 0.925], [0.208, 0.561, 0.075], [0.432, 0.303, 0.083], [0.439, 0.792, 0.425], [0.196, 0.099, 0.439], [0.901, 0.804, 0.061], [0.303, 0.432, 0.583], [0.079, 0.686, 0.608], [0.686, 0.079, 0.108], [0.314, 0.921, 0.892], [0.921, 0.314, 0.392], [0.804, 0.901, 0.561], [0.844, 0.672, 0.744], [0.670, 0.330, 0.250], [0.672, 0.844, 0.244], [0.330, 0.670, 0.750], [0.328, 0.156, 0.756], [0.156, 0.328, 0.256], [0.845, 0.155, 0.750], [0.155, 0.845, 0.250]], "polymorph_energy_mev_per_atom": 0, "magmom_total_mub_per_cell": 0.00, "crystal_system": "monoclinic", "final_energy_ev_per_atom": -9.22}